Below is a relaxed La4Y3 crystal, with properties calculated at the PBE level.

Computed properties:
Total DFT energy (no corrections) = -5.561 eV per atom
D(E_F) = 1.7913 states/eV per atom
Energy relative to the lowest polymorph listed for this composition = 0 kJ/mol of formula units
Calculated formation energy = 0.18 eV/f.u.

Unit cell a=3.687 b=5.150 c=25.754 alpha=90.00 beta=90.00 gamma=90.00
Space group Immm (No. 71)
Inequivalent atoms, fractional coordinates:
La 0.000 0.000 0.071 [4 per cell]
La 0.000 0.000 0.213 [4 per cell]
Y 0.000 0.000 0.357 [4 per cell]
Y 0.000 0.000 0.500 [2 per cell]